No. 1
! Dy12CdNi5, optimized geometry, DFT GGA-PBE; values from VASP
! - E_tot (eV/cell) = -90.6
! - density of states at the Fermi level (states/eV/f.u.) = 18.84
&SYSTEM
  ibrav = 0, nat = 18, ntyp = 3
/
ATOMIC_SPECIES
Dy 162.50 Dy.upf
Ni 58.69 Ni.upf
Cd 112.41 Cd.upf
ATOMIC_POSITIONS angstrom
Dy -2.4669 6.6709 3.5793
Ni 0.0000 0.0000 0.0000
Ni 2.3822 4.3821 -3.4565
Dy -0.1577 2.7728 0.2289
Dy -0.3882 4.6245 5.5952
Dy 1.0449 2.2051 3.5158
Dy 0.7629 5.6077 2.3036
Dy 2.9380 1.2499 0.5707
Dy 6.1252 1.2499 2.7673
Dy -2.4243 5.6077 0.1070
Cd -2.0228 3.4148 2.9351
Ni 3.3521 0.8442 3.3804
Dy 2.6559 4.6525 -0.6415
Dy 6.1678 0.1867 -0.7051
Ni 1.3610 2.5035 -1.9748
Ni 0.3488 6.0135 -0.5061
Dy 3.8586 4.0849 2.6454
Dy 4.0891 2.2331 -2.7210
CELL_PARAMETERS angstrom
7.7465 0.0280 -2.9959
-4.0033 6.8576 -2.4354
-0.0423 -0.0280 8.3056

No. 2
! Sr3Mg2Cd4, optimized geometry, DFT GGA-PBE; values from VASP
! - E_tot (eV/cell) = -14.2
! - density of states at the Fermi level (states/eV/f.u.) = 7.39
&SYSTEM
  ibrav = 0, nat = 9, ntyp = 3
/
ATOMIC_SPECIES
Sr 87.62 Sr.upf
Cd 112.41 Cd.upf
Mg 24.30 Mg.upf
ATOMIC_POSITIONS angstrom
Sr 2.1425 1.2126 3.3963
Cd 5.5051 6.3215 0.9300
Mg 0.0816 3.5322 1.6785
Cd 2.3811 2.9308 -0.0759
Cd 1.8558 4.6924 4.1117
Cd -1.2682 1.3017 3.1058
Mg 4.1553 4.0909 2.3573
Sr 0.0000 0.0000 0.0000
Sr 2.0944 6.4105 0.6395
CELL_PARAMETERS angstrom
-3.7865 3.1094 1.2784
2.4689 -3.2477 5.1836
5.5544 7.7614 -2.4262

No. 3
! Li3B4C4, optimized geometry, DFT GGA-PBE; values from VASP
! - E_tot (eV/cell) = -143.8
! - density of states at the Fermi level (states/eV/f.u.) = 2.52
! - relative energy among the computed polymorphs (eV/f.u.) = 0.10
&SYSTEM
  ibrav = 0, nat = 22, ntyp = 3
/
ATOMIC_SPECIES
B 10.81 B.upf
Li 6.94 Li.upf
C 12.01 C.upf
ATOMIC_POSITIONS angstrom
B -0.0512 -4.4771 -0.7171
B 4.8915 -2.6280 0.8524
Li -0.6232 -1.9760 1.8004
C 1.0031 -3.1489 3.0798
C 3.6951 -5.4685 1.5326
C 3.2255 -5.8970 -1.1114
B 0.4666 -4.0771 1.9423
C 1.5656 -1.1946 1.2745
B 1.5698 -1.7250 2.7720
C -0.1133 -5.4953 2.2518
Li 2.6909 -3.3110 1.4119
B 1.0651 -2.1307 0.1109
C 4.8957 -3.1584 2.3499
Li 0.0000 0.0000 0.0000
Li -1.7026 -4.2449 0.9998
B 3.1635 -6.9151 1.8575
B 3.7620 -4.9688 0.0261
C 0.5335 -3.5773 0.4359
Li 1.5377 -5.7349 0.5565
C 4.3419 -3.5506 -0.2834
B 4.2798 -4.5687 2.6855
Li 2.1609 -3.7588 -1.2439
CELL_PARAMETERS angstrom
-0.0931 -1.5282 4.4562
-2.2327 -4.6928 -1.6560
6.5544 -2.8249 -0.8318

No. 4
! P2PbI, optimized geometry, DFT GGA-PBE; values from VASP
! - E_tot (eV/cell) = -12.9
! - uncorrected formation energy (eV/atom) = 0.80
! - density of states at the Fermi level (states/eV/f.u.) = 3.07
! - relative energy among the computed polymorphs (eV/f.u.) = 0.45
&SYSTEM
  ibrav = 0, nat = 4, ntyp = 3
/
ATOMIC_SPECIES
P 30.97 P.upf
I 126.90 I.upf
Pb 207.20 Pb.upf
ATOMIC_POSITIONS angstrom
P -1.4568 0.5747 2.6848
I 0.0000 0.0000 0.0000
Pb -2.9137 1.1494 5.3695
P -4.3705 1.7241 8.0543
CELL_PARAMETERS angstrom
0.6181 1.4709 4.8183
-3.5515 2.8322 2.2643
-2.8940 -2.0043 3.6564

No. 5
! AlNi2Ge, optimized geometry, DFT GGA-PBE; values from VASP
! - E_tot (eV/cell) = -21.4
! - density of states at the Fermi level (states/eV/f.u.) = 1.43
&SYSTEM
  ibrav = 0, nat = 4, ntyp = 3
/
ATOMIC_SPECIES
Ni 58.69 Ni.upf
Al 26.98 Al.upf
Ge 72.64 Ge.upf
ATOMIC_POSITIONS angstrom
Ni 0.0000 0.0000 1.4323
Al 1.4887 1.4887 2.8269
Ge 1.4887 1.4887 0.0000
Ni 0.0000 0.0000 4.2215
CELL_PARAMETERS angstrom
2.9775 0.0000 0.0000
0.0000 2.9775 0.0000
0.0000 0.0000 5.6538

No. 6
! Ta3S, optimized geometry, DFT GGA-PBE; values from VASP
! - E_tot (eV/cell) = -39.8
! - uncorrected formation energy (eV/atom) = -0.03
! - density of states at the Fermi level (states/eV/f.u.) = 3.37
&SYSTEM
  ibrav = 0, nat = 4, ntyp = 2
/
ATOMIC_SPECIES
Ta 180.95 Ta.upf
S 32.06 S.upf
ATOMIC_POSITIONS angstrom
Ta 4.9836 2.9129 1.6943
Ta 0.1878 2.1907 1.0235
Ta 2.4862 1.4601 2.6709
S 6.8435 2.0509 3.1406
CELL_PARAMETERS angstrom
-0.2359 2.7681 -1.2936
-1.4094 1.0076 2.4131
6.9199 2.0738 3.1756

Look up the density of states at the Fermi level of the third one. 2.52 states/eV/f.u.

Which value of density of states at the Fermi level does entry 3 give? 2.52 states/eV/f.u.

The highest density of states at the Fermi level belongs to which entry? Dy12CdNi5